[1]
Density functional theory data (PBE-GGA) for Hf3BeSe after structural relaxation.

Geometry as CIF:
```
data_Hf3BeSe
_chemical_formula_sum 'Hf3 Be1 Se1'
_cell_length_a 4.6609
_cell_length_b 4.6609
_cell_length_c 4.6609
_cell_angle_alpha 90.00
_cell_angle_beta 90.00
_cell_angle_gamma 90.00
_space_group_name_H-M_alt 'P 1'
_space_group_IT_number 1
loop_
_space_group_symop_operation_xyz
'x,y,z'
loop_
_atom_site_label
_atom_site_type_symbol
_atom_site_fract_x
_atom_site_fract_y
_atom_site_fract_z
Hf1 Hf 0.0000 0.0000 0.5000
Hf2 Hf 0.5000 0.0000 0.0000
Hf3 Hf 0.0000 0.5000 0.0000
Be1 Be 0.0000 0.0000 0.0000
Se1 Se 0.5000 0.5000 0.5000
```

Properties
SG: No. 221
offset from the most stable computed form: 0 meV per atom
total energy: -35.88 eV/cell
crystal system: cubic


[2]
Density functional theory data (PBE-GGA) for Na3Pu2CoS6 after structural relaxation.

Geometry as CIF:
```
data_Na3Pu2CoS6
_chemical_formula_sum 'Na3 Pu2 Co1 S6'
_cell_length_a 6.6004
_cell_length_b 6.6004
_cell_length_c 7.0312
_cell_angle_alpha 99.00
_cell_angle_beta 99.00
_cell_angle_gamma 120.09
_space_group_name_H-M_alt 'P 1'
_space_group_IT_number 1
loop_
_space_group_symop_operation_xyz
'x,y,z'
loop_
_atom_site_label
_atom_site_type_symbol
_atom_site_fract_x
_atom_site_fract_y
_atom_site_fract_z
Na1 Na 0.8322 0.1678 0.5000
Na2 Na 0.5000 0.5000 0.5000
Na3 Na 0.1678 0.8322 0.5000
Pu1 Pu 0.3333 0.6667 0.0000
Pu2 Pu 0.6667 0.3333 0.0000
S1 S 0.9278 0.6196 0.7834
S2 S 0.3804 0.0722 0.2166
S3 S 0.2350 0.2350 0.7868
S4 S 0.0722 0.3804 0.2166
S5 S 0.6196 0.9278 0.7834
S6 S 0.7650 0.7650 0.2132
Co1 Co 0.0000 0.0000 0.0000
```

Properties
SG: No. 12
total energy: -78.57 eV/cell
crystal system: monoclinic


[3]
Density functional theory data (PBE-GGA) for HoErTmIn after structural relaxation.

Geometry as CIF:
```
data_HoErTmIn
_chemical_formula_sum 'Ho1 Er1 Tm1 In1'
_cell_length_a 5.4008
_cell_length_b 5.4008
_cell_length_c 5.4008
_cell_angle_alpha 60.00
_cell_angle_beta 60.00
_cell_angle_gamma 60.00
_space_group_name_H-M_alt 'P 1'
_space_group_IT_number 1
loop_
_space_group_symop_operation_xyz
'x,y,z'
loop_
_atom_site_label
_atom_site_type_symbol
_atom_site_fract_x
_atom_site_fract_y
_atom_site_fract_z
Er1 Er 0.0000 0.0000 0.0000
In1 In 0.2500 0.2500 0.2500
Ho1 Ho 0.5000 0.5000 0.5000
Tm1 Tm 0.7500 0.7500 0.7500
```

Properties
SG: No. 216
offset from the most stable computed form: 137 meV per atom
DFT formation energy: -0.12 eV/atom
total energy: -16.85 eV/cell
crystal system: cubic


[4]
Density functional theory data (PBE-GGA) for AlIn3Se after structural relaxation.

Geometry as CIF:
```
data_AlIn3Se
_chemical_formula_sum 'Al1 In3 Se1'
_cell_length_a 5.5742
_cell_length_b 5.5742
_cell_length_c 5.5742
_cell_angle_alpha 90.00
_cell_angle_beta 90.00
_cell_angle_gamma 90.00
_space_group_name_H-M_alt 'P 1'
_space_group_IT_number 1
loop_
_space_group_symop_operation_xyz
'x,y,z'
loop_
_atom_site_label
_atom_site_type_symbol
_atom_site_fract_x
_atom_site_fract_y
_atom_site_fract_z
Se1 Se 0.0000 0.0000 0.0000
Al1 Al 0.5000 0.5000 0.5000
In1 In 0.0000 0.0000 0.5000
In2 In 0.0000 0.5000 0.0000
In3 In 0.5000 0.0000 0.0000
```

Properties
SG: No. 221
offset from the most stable computed form: 323 meV per atom
total energy: -12.89 eV/cell
crystal system: cubic


[5]
Density functional theory data (PBE-GGA) for GeAsO after structural relaxation.

Geometry as CIF:
```
data_GeAsO
_chemical_formula_sum 'Ge1 As1 O1'
_cell_length_a 3.5801
_cell_length_b 3.9081
_cell_length_c 3.9081
_cell_angle_alpha 120.00
_cell_angle_beta 90.00
_cell_angle_gamma 90.00
_space_group_name_H-M_alt 'P 1'
_space_group_IT_number 1
loop_
_space_group_symop_operation_xyz
'x,y,z'
loop_
_atom_site_label
_atom_site_type_symbol
_atom_site_fract_x
_atom_site_fract_y
_atom_site_fract_z
Ge1 Ge 0.0819 0.0000 0.0000
O1 O 0.3788 0.3333 0.6667
As1 As 0.5392 0.6667 0.3333
```

Properties
SG: No. 156
offset from the most stable computed form: 846 meV per atom
total energy: -13.70 eV/cell
crystal system: trigonal


[6]
Density functional theory data (PBE-GGA) for Cr2SiSbI after structural relaxation.

Geometry as CIF:
```
data_Cr2SiSbI
_chemical_formula_sum 'Cr2 Si1 Sb1 I1'
_cell_length_a 4.9650
_cell_length_b 5.3238
_cell_length_c 4.9650
_cell_angle_alpha 90.00
_cell_angle_beta 90.00
_cell_angle_gamma 90.00
_space_group_name_H-M_alt 'P 1'
_space_group_IT_number 1
loop_
_space_group_symop_operation_xyz
'x,y,z'
loop_
_atom_site_label
_atom_site_type_symbol
_atom_site_fract_x
_atom_site_fract_y
_atom_site_fract_z
Cr1 Cr 0.0000 0.0000 0.5000
Cr2 Cr 0.5000 0.0000 0.0000
Sb1 Sb 0.0000 0.5000 0.0000
I1 I 0.5000 0.5000 0.5000
Si1 Si 0.0000 0.0000 0.0000
```

Properties
SG: No. 123
total energy: -26.45 eV/cell
crystal system: tetragonal


[7]
Density functional theory data (PBE-GGA) for AcZn2GeIr2 after structural relaxation.

Geometry as CIF:
```
data_AcZn2GeIr2
_chemical_formula_sum 'Ac1 Zn2 Ge1 Ir2'
_cell_length_a 4.6432
_cell_length_b 4.6432
_cell_length_c 5.9728
_cell_angle_alpha 90.00
_cell_angle_beta 90.00
_cell_angle_gamma 90.00
_space_group_name_H-M_alt 'P 1'
_space_group_IT_number 1
loop_
_space_group_symop_operation_xyz
'x,y,z'
loop_
_atom_site_label
_atom_site_type_symbol
_atom_site_fract_x
_atom_site_fract_y
_atom_site_fract_z
Zn1 Zn 0.5000 0.5000 0.7457
Zn2 Zn 0.5000 0.5000 0.2543
Ge1 Ge 0.0000 0.0000 0.0000
Ir1 Ir 0.5000 0.0000 0.0000
Ir2 Ir 0.0000 0.5000 0.0000
Ac1 Ac 0.0000 0.0000 0.5000
```

Properties
SG: No. 123
DFT formation energy: -0.12 eV/atom
total energy: -29.70 eV/cell
crystal system: tetragonal


[8]
Density functional theory data (PBE-GGA) for Sr2FeNiSn after structural relaxation.

Geometry as CIF:
```
data_Sr2FeNiSn
_chemical_formula_sum 'Sr2 Fe1 Ni1 Sn1'
_cell_length_a 6.2362
_cell_length_b 6.2362
_cell_length_c 4.8641
_cell_angle_alpha 90.00
_cell_angle_beta 90.00
_cell_angle_gamma 90.00
_space_group_name_H-M_alt 'P 1'
_space_group_IT_number 1
loop_
_space_group_symop_operation_xyz
'x,y,z'
loop_
_atom_site_label
_atom_site_type_symbol
_atom_site_fract_x
_atom_site_fract_y
_atom_site_fract_z
Sr1 Sr 0.5000 0.0000 0.0000
Sr2 Sr 0.0000 0.5000 0.0000
Sn1 Sn 0.0000 0.0000 0.0000
Fe1 Fe 0.0000 0.0000 0.5000
Ni1 Ni 0.5000 0.5000 0.5000
```

Properties
SG: No. 123
DFT formation energy: 0.73 eV/atom
total energy: -17.96 eV/cell
crystal system: tetragonal


[9]
Density functional theory data (PBE-GGA) for Tl2Cu2Sb after structural relaxation.

Geometry as CIF:
```
data_Tl2Cu2Sb
_chemical_formula_sum 'Tl4 Cu4 Sb2'
_cell_length_a 7.0000
_cell_length_b 7.0000
_cell_length_c 4.5576
_cell_angle_alpha 90.00
_cell_angle_beta 90.00
_cell_angle_gamma 90.00
_space_group_name_H-M_alt 'P 1'
_space_group_IT_number 1
loop_
_space_group_symop_operation_xyz
'x,y,z'
loop_
_atom_site_label
_atom_site_type_symbol
_atom_site_fract_x
_atom_site_fract_y
_atom_site_fract_z
Tl1 Tl 0.1694 0.6694 0.5000
Tl2 Tl 0.3306 0.1694 0.5000
Tl3 Tl 0.6694 0.8306 0.5000
Tl4 Tl 0.8306 0.3306 0.5000
Cu1 Cu 0.8701 0.6299 0.0000
Cu2 Cu 0.6299 0.1299 0.0000
Cu3 Cu 0.3701 0.8701 0.0000
Cu4 Cu 0.1299 0.3701 0.0000
Sb1 Sb 0.0000 0.0000 0.0000
Sb2 Sb 0.5000 0.5000 0.0000
```

Properties
SG: No. 127
offset from the most stable computed form: 0 meV per atom
total energy: -32.14 eV/cell
crystal system: tetragonal


[10]
Density functional theory data (PBE-GGA) for NaLiUS3 after structural relaxation.

Geometry as CIF:
```
data_NaLiUS3
_chemical_formula_sum 'Na2 Li2 U2 S6'
_cell_length_a 4.0113
_cell_length_b 9.8907
_cell_length_c 7.1070
_cell_angle_alpha 99.61
_cell_angle_beta 90.00
_cell_angle_gamma 90.00
_space_group_name_H-M_alt 'P 1'
_space_group_IT_number 1
loop_
_space_group_symop_operation_xyz
'x,y,z'
loop_
_atom_site_label
_atom_site_type_symbol
_atom_site_fract_x
_atom_site_fract_y
_atom_site_fract_z
U1 U 0.2500 0.6728 0.1204
U2 U 0.7500 0.3272 0.8796
Li1 Li 0.2500 0.0566 0.6610
Li2 Li 0.7500 0.9434 0.3390
S1 S 0.2500 0.8291 0.4552
S2 S 0.7500 0.8155 0.0065
S3 S 0.7500 0.1709 0.5448
S4 S 0.7500 0.5065 0.2229
S5 S 0.2500 0.1845 0.9935
S6 S 0.2500 0.4935 0.7771
Na1 Na 0.2500 0.3185 0.3797
Na2 Na 0.7500 0.6815 0.6203
```

Properties
SG: No. 11
total energy: -70.11 eV/cell
crystal system: monoclinic


[11]
Density functional theory data (PBE-GGA) for Zn2Ni2Ag after structural relaxation.

Geometry as CIF:
```
data_Zn2Ni2Ag
_chemical_formula_sum 'Zn4 Ni4 Ag2'
_cell_length_a 7.0470
_cell_length_b 7.0470
_cell_length_c 2.7452
_cell_angle_alpha 90.00
_cell_angle_beta 90.00
_cell_angle_gamma 90.00
_space_group_name_H-M_alt 'P 1'
_space_group_IT_number 1
loop_
_space_group_symop_operation_xyz
'x,y,z'
loop_
_atom_site_label
_atom_site_type_symbol
_atom_site_fract_x
_atom_site_fract_y
_atom_site_fract_z
Zn1 Zn 0.8623 0.6377 0.0000
Zn2 Zn 0.3623 0.8623 0.0000
Zn3 Zn 0.6377 0.1377 0.0000
Zn4 Zn 0.1377 0.3623 0.0000
Ag1 Ag 0.0000 0.0000 0.0000
Ag2 Ag 0.5000 0.5000 0.0000
Ni1 Ni 0.3428 0.1572 0.5000
Ni2 Ni 0.1572 0.6572 0.5000
Ni3 Ni 0.8428 0.3428 0.5000
Ni4 Ni 0.6572 0.8428 0.5000
```

Properties
SG: No. 127
offset from the most stable computed form: 21 meV per atom
DFT formation energy: -0.06 eV/atom
total energy: -34.53 eV/cell
crystal system: tetragonal


[12]
Density functional theory data (PBE-GGA) for Cu4NiPd3 after structural relaxation.

Geometry as CIF:
```
data_Cu4NiPd3
_chemical_formula_sum 'Cu4 Ni1 Pd3'
_cell_length_a 2.9771
_cell_length_b 2.9771
_cell_length_c 11.8866
_cell_angle_alpha 90.00
_cell_angle_beta 90.00
_cell_angle_gamma 90.00
_space_group_name_H-M_alt 'P 1'
_space_group_IT_number 1
loop_
_space_group_symop_operation_xyz
'x,y,z'
loop_
_atom_site_label
_atom_site_type_symbol
_atom_site_fract_x
_atom_site_fract_y
_atom_site_fract_z
Cu1 Cu 0.0000 0.0000 0.8906
Cu2 Cu 0.0000 0.0000 0.3699
Cu3 Cu 0.0000 0.0000 0.6301
Cu4 Cu 0.0000 0.0000 0.1094
Ni1 Ni 0.5000 0.5000 0.0000
Pd1 Pd 0.5000 0.5000 0.2391
Pd2 Pd 0.5000 0.5000 0.7609
Pd3 Pd 0.5000 0.5000 0.5000
```

Properties
SG: No. 123
offset from the most stable computed form: 0 meV per atom
DFT formation energy: -0.06 eV/atom
total energy: -38.25 eV/cell
crystal system: tetragonal